# Zr4Br5

An optimized crystal structure of Zr4Br5 (PBE, the Alexandria database).

Results
Crystal system: tetragonal
Total moment in Bohr magnetons per cell: 0.0
Space group: No. 139
N(E_F) in states/eV/cell: 8.44
Raw formation energy in eV per atom: -0.564

abc: 6.849 6.849 6.849
angles: 99.02 99.02 133.36
Element x y z (fractional)
Zr  0.000  0.338  0.338
Zr  0.000  0.662  0.662
Zr  0.338  0.000  0.338
Zr  0.662  0.000  0.662
Br  0.000  0.000  0.000
Br  0.314  0.314  0.629
Br  0.314  0.686  0.000
Br  0.686  0.314  0.000
Br  0.686  0.686  0.371